# PBE with a Hubbard U Li5V2Fe5O12, optimized geometry
data_Li5V2Fe5O12
_space_group_name_H-M_alt 'P 1'
_space_group_IT_number 1
_cell_length_a 5.205
_cell_length_b 5.205
_cell_length_c 10.051
_cell_angle_alpha 84.67
_cell_angle_beta 84.67
_cell_angle_gamma 120.32
loop_
_space_group_symop_operation_xyz
'x,y,z'
loop_
_atom_site_label
_atom_site_fract_x
_atom_site_fract_y
_atom_site_fract_z
O1 0.272 0.463 0.879
O2 0.620 0.116 0.885
O3 0.884 0.380 0.115
O4 0.112 0.582 0.389
O5 0.486 0.294 0.384
O6 0.187 0.027 0.121
O7 0.537 0.728 0.121
O8 0.418 0.888 0.611
O9 0.776 0.954 0.385
O10 0.973 0.813 0.879
O11 0.046 0.224 0.615
O12 0.706 0.514 0.616
Li1 0.148 0.316 0.250
Li2 0.081 0.919 0.500
Li3 0.684 0.852 0.750
Li4 0.329 0.169 0.747
Li5 0.831 0.671 0.253
Fe1 0.003 0.513 0.745
Fe2 0.426 0.574 0.500
Fe3 0.577 0.423 0.000
Fe4 0.915 0.085 0.000
Fe5 0.487 0.997 0.255
V1 0.245 0.755 0.000
V2 0.756 0.244 0.500
# E_tot in eV/atom: -6.458
# Magnetic moment in μB/f.u.: 25.0